Sr3CrIn | PBEsol | optimized geometry

```
5
Lattice="5.8553 0.0000 0.0000 0.0000 5.8553 0.0000 0.0000 0.0000 5.8553" Properties=species:S:1:pos:R:3 pbc="T T T"
Sr 0.0000 2.9276 0.0000
Sr 0.0000 0.0000 2.9276
Sr 2.9276 0.0000 0.0000
Cr 0.0000 0.0000 0.0000
In 2.9276 2.9276 2.9276
```

Summary:
DOS at the Fermi energy (states/eV/atom): 1.01
Magnetic moment (μB per cell): 3.4
SG: Pm-3m, No. 221
Volume (Å³/f.u.): 200.7
Energy of formation from the pure elements (eV per atom): 0.5906